A crystal of HoTe relaxed with PBEsol, computed with meta-GGA SCAN.

Uncorrected formation energy ... -1.349 eV/atom
Total magnetic moment ... 0.0 μB per formula unit
D(E_F) ... 4.2 states/eV per cell
SG ... Fm-3m (225)
V ... 219.69 Å³/cell

Unit cell a=6.034 b=6.034 c=6.034 alpha=90.00 beta=90.00 gamma=90.00
Fractional positions:
Ho  0.000  0.000  0.000
Ho  0.000  0.500  0.500
Ho  0.500  0.000  0.500
Ho  0.500  0.500  0.000
Te  0.000  0.000  0.500
Te  0.000  0.500  0.000
Te  0.500  0.000  0.000
Te  0.500  0.500  0.500